# 1
Entry from the Open Quantum Materials Database: an optimized crystal structure of BaBeCd (GGA-PBE).

a = 7.549 Å, b = 7.549 Å, c = 7.549 Å
α = 90.00°, β = 90.00°, γ = 90.00°
Space group F-43m (No. 216)
Unique sites:
Ba: 0.000 0.000 0.000 [4 per cell]
Be: 0.250 0.250 0.750 [4 per cell]
Cd: 0.250 0.250 0.250 [4 per cell]

Calculated values
- final energy (eV per atom) = -1.396
- mass density (g cm⁻³) = 4.0

***

# 2
Entry from the Open Quantum Materials Database: an optimized crystal structure of Ba3Zr6BeCl18 (GGA-PBE).

a = 9.7707 Å, b = 9.7707 Å, c = 52.8860 Å
α = 90.00°, β = 90.00°, γ = 120.00°
Space group R-3c (No. 167, hexagonal axes)
Unique sites:
Ba: 0.0000 0.0000 0.1114 [12 per cell]
Ba: 0.0000 0.0000 0.2500 [6 per cell]
Zr: 0.0170 0.2053 0.4748 [36 per cell]
Be: 0.0000 0.0000 0.0000 [6 per cell]
Cl: 0.0180 0.2166 0.5573 [36 per cell]
Cl: 0.0254 0.4443 0.4474 [36 per cell]
Cl: 0.0963 0.2367 0.1657 [36 per cell]

Calculated values
- final energy (eV per atom) = -5.249
- size of the total moment (μB/cell) = 0.015
- mass density (g cm⁻³) = 3.7

***

# 3
Entry from the Open Quantum Materials Database: an optimized crystal structure of Ba2BeCo (GGA-PBE).

a = 7.352 Å, b = 7.352 Å, c = 7.352 Å
α = 90.00°, β = 90.00°, γ = 90.00°
Space group F-43m (No. 216)
Unique sites:
Ba: 0.000 0.000 0.000 [4 per cell]
Ba: 0.250 0.250 0.250 [4 per cell]
Be: 0.000 0.000 0.500 [4 per cell]
Co: 0.250 0.250 0.750 [4 per cell]

Calculated values
- final energy (eV per atom) = -2.796
- size of the total moment (μB/cell) = 6.255
- mass density (g cm⁻³) = 5.7

***

# 4
Entry from the Open Quantum Materials Database: an optimized crystal structure of BaBeNbCo (GGA-PBE).

a = 6.544 Å, b = 6.544 Å, c = 6.544 Å
α = 90.00°, β = 90.00°, γ = 90.00°
Space group F-43m (No. 216)
Unique sites:
Ba: 0.000 0.000 0.000 [4 per cell]
Be: 0.000 0.000 0.500 [4 per cell]
Nb: 0.250 0.250 0.750 [4 per cell]
Co: 0.250 0.250 0.250 [4 per cell]

Calculated values
- final energy (eV per atom) = -4.543
- size of the total moment (μB/cell) = 0.157
- relative energy among the computed polymorphs (meV per atom) = 116
- mass density (g cm⁻³) = 7.1

***

# 5
Entry from the Open Quantum Materials Database: an optimized crystal structure of BaBeNbCo (GGA-PBE).

a = 6.771 Å, b = 6.771 Å, c = 6.771 Å
α = 90.00°, β = 90.00°, γ = 90.00°
Space group F-43m (No. 216)
Unique sites:
Ba: 0.000 0.000 0.000 [4 per cell]
Be: 0.250 0.250 0.250 [4 per cell]
Nb: 0.000 0.000 0.500 [4 per cell]
Co: 0.250 0.250 0.750 [4 per cell]

Calculated values
- final energy (eV per atom) = -4.658
- size of the total moment (μB/cell) = 9.228
- relative energy among the computed polymorphs (meV per atom) = 0
- mass density (g cm⁻³) = 6.4

***

# 6
Entry from the Open Quantum Materials Database: an optimized crystal structure of BaBeNbCo (GGA-PBE).

a = 6.582 Å, b = 6.582 Å, c = 6.582 Å
α = 90.00°, β = 90.00°, γ = 90.00°
Space group F-43m (No. 216)
Unique sites:
Ba: 0.000 0.000 0.000 [4 per cell]
Be: 0.250 0.250 0.750 [4 per cell]
Nb: 0.250 0.250 0.250 [4 per cell]
Co: 0.000 0.000 0.500 [4 per cell]

Calculated values
- final energy (eV per atom) = -4.652
- size of the total moment (μB/cell) = 0.011
- relative energy among the computed polymorphs (meV per atom) = 7
- mass density (g cm⁻³) = 6.9

***

# 7
Entry from the Open Quantum Materials Database: an optimized crystal structure of BaBeCoP2 (GGA-PBE).

a = 3.812 Å, b = 3.812 Å, c = 12.345 Å
α = 90.00°, β = 90.00°, γ = 90.00°
Space group I-4m2 (No. 119)
Unique sites:
Ba: 0.000 0.000 0.000 [2 per cell]
Be: 0.000 0.500 0.250 [2 per cell]
Co: 0.000 0.500 0.750 [2 per cell]
P: 0.000 0.000 0.343 [4 per cell]

Calculated values
- final energy (eV per atom) = -5.390
- size of the total moment (μB/cell) = 0.005
- mass density (g cm⁻³) = 4.9

***

# 8
Entry from the Open Quantum Materials Database: an optimized crystal structure of BaTaBeCo (GGA-PBE).

a = 6.551 Å, b = 6.551 Å, c = 6.551 Å
α = 90.00°, β = 90.00°, γ = 90.00°
Space group F-43m (No. 216)
Unique sites:
Ba: 0.000 0.000 0.000 [4 per cell]
Ta: 0.250 0.250 0.750 [4 per cell]
Be: 0.000 0.000 0.500 [4 per cell]
Co: 0.250 0.250 0.250 [4 per cell]

Calculated values
- final energy (eV per atom) = -4.869
- size of the total moment (μB/cell) = 0.032
- relative energy among the computed polymorphs (meV per atom) = 174
- mass density (g cm⁻³) = 9.1

***

# 9
Entry from the Open Quantum Materials Database: an optimized crystal structure of BaTaBeCo (GGA-PBE).

a = 6.596 Å, b = 6.596 Å, c = 6.596 Å
α = 90.00°, β = 90.00°, γ = 90.00°
Space group F-43m (No. 216)
Unique sites:
Ba: 0.000 0.000 0.000 [4 per cell]
Ta: 0.250 0.250 0.250 [4 per cell]
Be: 0.250 0.250 0.750 [4 per cell]
Co: 0.000 0.000 0.500 [4 per cell]

Calculated values
- final energy (eV per atom) = -5.001
- size of the total moment (μB/cell) = 0.004
- relative energy among the computed polymorphs (meV per atom) = 42
- mass density (g cm⁻³) = 8.9

***

# 10
Entry from the Open Quantum Materials Database: an optimized crystal structure of BaTaBeCo (GGA-PBE).

a = 6.752 Å, b = 6.752 Å, c = 6.752 Å
α = 90.00°, β = 90.00°, γ = 90.00°
Space group F-43m (No. 216)
Unique sites:
Ba: 0.000 0.000 0.000 [4 per cell]
Ta: 0.000 0.000 0.500 [4 per cell]
Be: 0.250 0.250 0.250 [4 per cell]
Co: 0.250 0.250 0.750 [4 per cell]

Calculated values
- final energy (eV per atom) = -5.043
- size of the total moment (μB/cell) = 0.485
- relative energy among the computed polymorphs (meV per atom) = 0
- mass density (g cm⁻³) = 8.3

***

# 11
Entry from the Open Quantum Materials Database: an optimized crystal structure of Ba2BeCu (GGA-PBE).

a = 7.521 Å, b = 7.521 Å, c = 7.521 Å
α = 90.00°, β = 90.00°, γ = 90.00°
Space group F-43m (No. 216)
Unique sites:
Ba: 0.000 0.000 0.000 [4 per cell]
Ba: 0.250 0.250 0.250 [4 per cell]
Be: 0.000 0.000 0.500 [4 per cell]
Cu: 0.250 0.250 0.750 [4 per cell]

Calculated values
- final energy (eV per atom) = -2.298
- mass density (g cm⁻³) = 5.4

***

# 12
Entry from the Open Quantum Materials Database: an optimized crystal structure of BaBeCu (GGA-PBE).

a = 7.285 Å, b = 7.285 Å, c = 7.285 Å
α = 90.00°, β = 90.00°, γ = 90.00°
Space group F-43m (No. 216)
Unique sites:
Ba: 0.000 0.000 0.000 [4 per cell]
Be: 0.250 0.250 0.250 [4 per cell]
Cu: 0.250 0.250 0.750 [4 per cell]

Calculated values
- final energy (eV per atom) = -2.074
- mass density (g cm⁻³) = 3.6

***

# 13
Entry from the Open Quantum Materials Database: an optimized crystal structure of Ba4Be2Cu (GGA-PBE).

a = 16.450 Å, b = 8.337 Å, c = 4.110 Å
α = 90.00°, β = 100.56°, γ = 90.00°
Space group C2/m (No. 12)
Unique sites:
Ba: 0.122 0.241 0.150 [8 per cell]
Be: 0.008 0.500 0.747 [4 per cell]
Cu: 0.000 0.000 0.500 [2 per cell]

Calculated values
- final energy (eV per atom) = -2.408
- mass density (g cm⁻³) = 3.8

***

# 14
Entry from the Open Quantum Materials Database: an optimized crystal structure of BaErBe (GGA-PBE).

a = 7.311 Å, b = 7.311 Å, c = 7.311 Å
α = 90.00°, β = 90.00°, γ = 90.00°
Space group F-43m (No. 216)
Unique sites:
Ba: 0.000 0.000 0.000 [4 per cell]
Er: 0.000 0.000 0.500 [4 per cell]
Be: 0.250 0.250 0.250 [4 per cell]

Calculated values
- final energy (eV per atom) = -2.794
- size of the total moment (μB/cell) = 0.163
- relative energy among the computed polymorphs (meV per atom) = 0
- mass density (g cm⁻³) = 5.3

***

# 15
Entry from the Open Quantum Materials Database: an optimized crystal structure of BaBe2Fe (GGA-PBE).

a = 6.554 Å, b = 6.554 Å, c = 6.554 Å
α = 90.00°, β = 90.00°, γ = 90.00°
Space group F-43m (No. 216)
Unique sites:
Ba: 0.000 0.000 0.000 [4 per cell]
Be: 0.000 0.000 0.500 [4 per cell]
Be: 0.250 0.250 0.750 [4 per cell]
Fe: 0.250 0.250 0.250 [4 per cell]

Calculated values
- final energy (eV per atom) = -3.232
- size of the total moment (μB/cell) = 10.835
- mass density (g cm⁻³) = 5.0

***

# 16
Entry from the Open Quantum Materials Database: an optimized crystal structure of BaBeFeTe (GGA-PBE).

a = 7.485 Å, b = 7.485 Å, c = 7.485 Å
α = 90.00°, β = 90.00°, γ = 90.00°
Space group F-43m (No. 216)
Unique sites:
Ba: 0.000 0.000 0.000 [4 per cell]
Be: 0.000 0.000 0.500 [4 per cell]
Fe: 0.250 0.250 0.250 [4 per cell]
Te: 0.250 0.250 0.750 [4 per cell]

Calculated values
- final energy (eV per atom) = -3.572
- size of the total moment (μB/cell) = 10.088
- relative energy among the computed polymorphs (meV per atom) = 131
- mass density (g cm⁻³) = 5.2

***

# 17
Entry from the Open Quantum Materials Database: an optimized crystal structure of BaBeFeTe (GGA-PBE).

a = 7.100 Å, b = 7.100 Å, c = 7.100 Å
α = 90.00°, β = 90.00°, γ = 90.00°
Space group F-43m (No. 216)
Unique sites:
Ba: 0.000 0.000 0.000 [4 per cell]
Be: 0.250 0.250 0.250 [4 per cell]
Fe: 0.250 0.250 0.750 [4 per cell]
Te: 0.000 0.000 0.500 [4 per cell]

Calculated values
- final energy (eV per atom) = -3.703
- size of the total moment (μB/cell) = 10.049
- relative energy among the computed polymorphs (meV per atom) = 0
- mass density (g cm⁻³) = 6.1

***

# 18
Entry from the Open Quantum Materials Database: an optimized crystal structure of BaBeFeW (GGA-PBE).

a = 6.520 Å, b = 6.520 Å, c = 6.520 Å
α = 90.00°, β = 90.00°, γ = 90.00°
Space group F-43m (No. 216)
Unique sites:
Ba: 0.000 0.000 0.000 [4 per cell]
Be: 0.000 0.000 0.500 [4 per cell]
Fe: 0.250 0.250 0.750 [4 per cell]
W: 0.250 0.250 0.250 [4 per cell]

Calculated values
- final energy (eV per atom) = -5.091
- size of the total moment (μB/cell) = 5.206
- relative energy among the computed polymorphs (meV per atom) = 255
- mass density (g cm⁻³) = 9.2

***

# 19
Entry from the Open Quantum Materials Database: an optimized crystal structure of BaBeFeW (GGA-PBE).

a = 6.618 Å, b = 6.618 Å, c = 6.618 Å
α = 90.00°, β = 90.00°, γ = 90.00°
Space group F-43m (No. 216)
Unique sites:
Ba: 0.000 0.000 0.000 [4 per cell]
Be: 0.250 0.250 0.750 [4 per cell]
Fe: 0.250 0.250 0.250 [4 per cell]
W: 0.000 0.000 0.500 [4 per cell]

Calculated values
- final energy (eV per atom) = -5.347
- size of the total moment (μB/cell) = 14.580
- relative energy among the computed polymorphs (meV per atom) = 0
- mass density (g cm⁻³) = 8.8

***

# 20
Entry from the Open Quantum Materials Database: an optimized crystal structure of BaBeFeW (GGA-PBE).

a = 6.543 Å, b = 6.543 Å, c = 6.543 Å
α = 90.00°, β = 90.00°, γ = 90.00°
Space group F-43m (No. 216)
Unique sites:
Ba: 0.000 0.000 0.000 [4 per cell]
Be: 0.250 0.250 0.250 [4 per cell]
Fe: 0.000 0.000 0.500 [4 per cell]
W: 0.250 0.250 0.750 [4 per cell]

Calculated values
- final energy (eV per atom) = -5.232
- size of the total moment (μB/cell) = 0.005
- relative energy among the computed polymorphs (meV per atom) = 115
- mass density (g cm⁻³) = 9.2

***

# 21
Entry from the Open Quantum Materials Database: an optimized crystal structure of BaBeNiGe (GGA-PBE).

a = 6.867 Å, b = 6.867 Å, c = 6.867 Å
α = 90.00°, β = 90.00°, γ = 90.00°
Space group F-43m (No. 216)
Unique sites:
Ba: 0.000 0.000 0.000 [4 per cell]
Be: 0.250 0.250 0.250 [4 per cell]
Ni: 0.000 0.000 0.500 [4 per cell]
Ge: 0.250 0.250 0.750 [4 per cell]

Calculated values
- final energy (eV per atom) = -3.449
- size of the total moment (μB/cell) = 0.027
- relative energy among the computed polymorphs (meV per atom) = 75
- mass density (g cm⁻³) = 5.7

***

# 22
Entry from the Open Quantum Materials Database: an optimized crystal structure of BaBeNiGe (GGA-PBE).

a = 6.924 Å, b = 6.924 Å, c = 6.924 Å
α = 90.00°, β = 90.00°, γ = 90.00°
Space group F-43m (No. 216)
Unique sites:
Ba: 0.000 0.000 0.000 [4 per cell]
Be: 0.000 0.000 0.500 [4 per cell]
Ni: 0.250 0.250 0.750 [4 per cell]
Ge: 0.250 0.250 0.250 [4 per cell]

Calculated values
- final energy (eV per atom) = -3.392
- size of the total moment (μB/cell) = 0.191
- relative energy among the computed polymorphs (meV per atom) = 132
- mass density (g cm⁻³) = 5.6

***

# 23
Entry from the Open Quantum Materials Database: an optimized crystal structure of BaBeNiGe (GGA-PBE).

a = 6.760 Å, b = 6.760 Å, c = 6.760 Å
α = 90.00°, β = 90.00°, γ = 90.00°
Space group F-43m (No. 216)
Unique sites:
Ba: 0.000 0.000 0.000 [4 per cell]
Be: 0.250 0.250 0.750 [4 per cell]
Ni: 0.250 0.250 0.250 [4 per cell]
Ge: 0.000 0.000 0.500 [4 per cell]

Calculated values
- final energy (eV per atom) = -3.524
- size of the total moment (μB/cell) = 0.004
- relative energy among the computed polymorphs (meV per atom) = 0
- mass density (g cm⁻³) = 6.0

***

# 24
Entry from the Open Quantum Materials Database: an optimized crystal structure of BaBeGePt (GGA-PBE).

a = 7.014 Å, b = 7.014 Å, c = 7.014 Å
α = 90.00°, β = 90.00°, γ = 90.00°
Space group F-43m (No. 216)
Unique sites:
Ba: 0.000 0.000 0.000 [4 per cell]
Be: 0.250 0.250 0.750 [4 per cell]
Ge: 0.000 0.000 0.500 [4 per cell]
Pt: 0.250 0.250 0.250 [4 per cell]

Calculated values
- final energy (eV per atom) = -3.814
- size of the total moment (μB/cell) = 0.002
- relative energy among the computed polymorphs (meV per atom) = 122
- mass density (g cm⁻³) = 8.0

***

# 25
Entry from the Open Quantum Materials Database: an optimized crystal structure of BaBeGePt (GGA-PBE).

a = 6.876 Å, b = 6.876 Å, c = 6.876 Å
α = 90.00°, β = 90.00°, γ = 90.00°
Space group F-43m (No. 216)
Unique sites:
Ba: 0.000 0.000 0.000 [4 per cell]
Be: 0.250 0.250 0.250 [4 per cell]
Ge: 0.250 0.250 0.750 [4 per cell]
Pt: 0.000 0.000 0.500 [4 per cell]

Calculated values
- final energy (eV per atom) = -3.936
- size of the total moment (μB/cell) = 0.010
- relative energy among the computed polymorphs (meV per atom) = 0
- mass density (g cm⁻³) = 8.5

***

# 26
Entry from the Open Quantum Materials Database: an optimized crystal structure of BaBeGePt (GGA-PBE).

a = 7.058 Å, b = 7.058 Å, c = 7.058 Å
α = 90.00°, β = 90.00°, γ = 90.00°
Space group F-43m (No. 216)
Unique sites:
Ba: 0.000 0.000 0.000 [4 per cell]
Be: 0.000 0.000 0.500 [4 per cell]
Ge: 0.250 0.250 0.250 [4 per cell]
Pt: 0.250 0.250 0.750 [4 per cell]

Calculated values
- final energy (eV per atom) = -3.759
- size of the total moment (μB/cell) = 0.006
- relative energy among the computed polymorphs (meV per atom) = 178
- mass density (g cm⁻³) = 7.8

***

# 27
Entry from the Open Quantum Materials Database: an optimized crystal structure of BaHfBe (GGA-PBE).

a = 6.944 Å, b = 6.944 Å, c = 6.944 Å
α = 90.00°, β = 90.00°, γ = 90.00°
Space group F-43m (No. 216)
Unique sites:
Ba: 0.000 0.000 0.000 [4 per cell]
Hf: 0.250 0.250 0.250 [4 per cell]
Be: 0.250 0.250 0.750 [4 per cell]

Calculated values
- final energy (eV per atom) = -3.473
- size of the total moment (μB/cell) = 0.002
- relative energy among the computed polymorphs (meV per atom) = 657
- mass density (g cm⁻³) = 6.4

***

# 28
Entry from the Open Quantum Materials Database: an optimized crystal structure of BaHfBe2 (GGA-PBE).

a = 6.850 Å, b = 6.850 Å, c = 6.850 Å
α = 90.00°, β = 90.00°, γ = 90.00°
Space group F-43m (No. 216)
Unique sites:
Ba: 0.000 0.000 0.000 [4 per cell]
Hf: 0.250 0.250 0.250 [4 per cell]
Be: 0.000 0.000 0.500 [4 per cell]
Be: 0.250 0.250 0.750 [4 per cell]

Calculated values
- final energy (eV per atom) = -3.668
- size of the total moment (μB/cell) = 0.567
- mass density (g cm⁻³) = 6.9